(1)
## La4CoRh (GGA-PBE)

Data for crystalline La4CoRh at its relaxed geometry.

electronic total energy: -6.032 eV/atom
total moment: 0.0 μB/f.u.
calculated formation energy: -337 meV per atom
energy relative to the lowest polymorph listed for this composition: 0.000 eV/atom

```
data_La4CoRh
_chemical_formula_sum 'La4 Co1 Rh1'
_symmetry_space_group_name_H-M 'P -1'
_symmetry_Int_Tables_number 2
_symmetry_space_group_name_Hall '-P 1'
_cell_length_a 4.196
_cell_length_b 6.565
_cell_length_c 7.262
_cell_angle_alpha 100.79
_cell_angle_beta 90.07
_cell_angle_gamma 108.56
loop_
_atom_site_label
_atom_site_fract_x
_atom_site_fract_y
_atom_site_fract_z
La1 0.118 0.238 0.383
La2 0.379 0.757 0.135
Co1 0.500 0.000 0.500
Rh1 0.000 0.000 0.000
```

(2)
## Si2SbRu (GGA-PBE)

Data for crystalline Si2SbRu at its relaxed geometry.

electronic total energy: -5.552 eV/atom
formation energy from raw total energies: 0.51 eV per atom
total moment: 0.0 μB/f.u.

```
data_Si2SbRu
_chemical_formula_sum 'Si2 Sb1 Ru1'
_symmetry_space_group_name_H-M 'P 4/m m m'
_symmetry_Int_Tables_number 123
_symmetry_space_group_name_Hall '-P 4 2'
_cell_length_a 3.760
_cell_length_b 3.760
_cell_length_c 4.863
_cell_angle_alpha 90.00
_cell_angle_beta 90.00
_cell_angle_gamma 90.00
loop_
_atom_site_label
_atom_site_fract_x
_atom_site_fract_y
_atom_site_fract_z
Si1 0.000 0.500 0.000
Sb1 0.000 0.000 0.500
Ru1 0.500 0.500 0.500
```

(3)
## Mn2AgI (GGA-PBE)

Data for crystalline Mn2AgI at its relaxed geometry.

electronic total energy: -4.930 eV/atom
formation energy from raw total energies: 0.76 eV per atom
total moment: 9.1 μB/f.u.
energy relative to the lowest polymorph listed for this composition: 0.000 eV/atom

```
data_Mn2AgI
_chemical_formula_sum 'Mn8 Ag4 I4'
_symmetry_space_group_name_H-M 'I -4 2 d'
_symmetry_Int_Tables_number 122
_symmetry_space_group_name_Hall 'I -4 2bw'
_cell_length_a 5.033
_cell_length_b 5.033
_cell_length_c 17.168
_cell_angle_alpha 90.00
_cell_angle_beta 90.00
_cell_angle_gamma 90.00
loop_
_atom_site_label
_atom_site_fract_x
_atom_site_fract_y
_atom_site_fract_z
Mn1 0.176 0.250 0.125
Ag1 0.000 0.000 0.000
I1 0.000 0.000 0.500
```

(4)
## TlNiAu2 (GGA-PBE)

Data for crystalline TlNiAu2 at its relaxed geometry.

electronic total energy: -3.484 eV/atom
total moment: 0.0 μB/f.u.
calculated formation energy: 192 meV per atom
energy relative to the lowest polymorph listed for this composition: 0.070 eV/atom

```
data_TlNiAu2
_chemical_formula_sum 'Tl3 Ni3 Au6'
_symmetry_space_group_name_H-M 'R -3 m'
_symmetry_Int_Tables_number 166
_symmetry_space_group_name_Hall '-R 3 2"'
_cell_length_a 4.1820
_cell_length_b 4.1820
_cell_length_c 15.8919
_cell_angle_alpha 90.00
_cell_angle_beta 90.00
_cell_angle_gamma 120.00
loop_
_atom_site_label
_atom_site_fract_x
_atom_site_fract_y
_atom_site_fract_z
Tl1 0.0000 0.0000 0.0000
Ni1 0.0000 0.0000 0.5000
Au1 0.0000 0.0000 0.2242
```

(5)
## CaFeBi2 (GGA-PBE)

Data for crystalline CaFeBi2 at its relaxed geometry.

electronic total energy: -4.449 eV/atom
total moment: 0.0 μB/f.u.
calculated formation energy: 108 meV per atom

```
data_CaFeBi2
_chemical_formula_sum 'Ca4 Fe4 Bi8'
_symmetry_space_group_name_H-M 'I -4 2 d'
_symmetry_Int_Tables_number 122
_symmetry_space_group_name_Hall 'I -4 2bw'
_cell_length_a 8.077
_cell_length_b 8.077
_cell_length_c 6.508
_cell_angle_alpha 90.00
_cell_angle_beta 90.00
_cell_angle_gamma 90.00
loop_
_atom_site_label
_atom_site_fract_x
_atom_site_fract_y
_atom_site_fract_z
Ca1 0.000 0.000 0.000
Fe1 0.000 0.000 0.500
Bi1 0.177 0.250 0.625
```

(6)
## UPaPSe (GGA-PBE)

Data for crystalline UPaPSe at its relaxed geometry.

electronic total energy: -8.264 eV/atom
formation energy from raw total energies: -0.84 eV per atom
total moment: 4.8 μB/f.u.

```
data_UPaPSe
_chemical_formula_sum 'U4 Pa4 P4 Se4'
_symmetry_space_group_name_H-M 'F -4 3 m'
_symmetry_Int_Tables_number 216
_symmetry_space_group_name_Hall 'F -4 2 3'
_cell_length_a 6.972
_cell_length_b 6.972
_cell_length_c 6.972
_cell_angle_alpha 90.00
_cell_angle_beta 90.00
_cell_angle_gamma 90.00
loop_
_atom_site_label
_atom_site_fract_x
_atom_site_fract_y
_atom_site_fract_z
U1 0.000 0.000 0.000
Pa1 0.000 0.000 0.500
P1 0.250 0.250 0.750
Se1 0.250 0.250 0.250
```

(7)
## Ca2Mg12Zn3Hg (GGA-PBE)

Data for crystalline Ca2Mg12Zn3Hg at its relaxed geometry.

electronic total energy: -1.430 eV/atom
total moment: 0.0 μB/f.u.
calculated formation energy: 85 meV per atom

```
data_Ca2Mg12Zn3Hg
_chemical_formula_sum 'Ca6 Mg36 Zn9 Hg3'
_symmetry_space_group_name_H-M 'R -3 m'
_symmetry_Int_Tables_number 166
_symmetry_space_group_name_Hall '-R 3 2"'
_cell_length_a 10.2701
_cell_length_b 10.2701
_cell_length_c 14.5512
_cell_angle_alpha 90.00
_cell_angle_beta 90.00
_cell_angle_gamma 120.00
loop_
_atom_site_label
_atom_site_fract_x
_atom_site_fract_y
_atom_site_fract_z
Ca1 0.0000 0.0000 0.1246
Mg1 0.0137 0.5069 0.1930
Mg2 0.0330 0.5165 0.3963
Zn1 0.0000 0.5000 0.0000
Hg1 0.0000 0.0000 0.5000
```

(8)
## Sc2TaTcCl (GGA-PBE)

Data for crystalline Sc2TaTcCl at its relaxed geometry.

electronic total energy: -7.001 eV/atom
formation energy from raw total energies: 0.34 eV per atom
total moment: 1.3 μB/f.u.

```
data_Sc2TaTcCl
_chemical_formula_sum 'Sc2 Ta1 Tc1 Cl1'
_symmetry_space_group_name_H-M 'P 4/m m m'
_symmetry_Int_Tables_number 123
_symmetry_space_group_name_Hall '-P 4 2'
_cell_length_a 4.604
_cell_length_b 4.604
_cell_length_c 4.584
_cell_angle_alpha 90.00
_cell_angle_beta 90.00
_cell_angle_gamma 90.00
loop_
_atom_site_label
_atom_site_fract_x
_atom_site_fract_y
_atom_site_fract_z
Sc1 0.000 0.500 0.000
Ta1 0.000 0.000 0.500
Tc1 0.500 0.500 0.500
Cl1 0.000 0.000 0.000
```

(9)
## LiCdSe2 (GGA-PBE)

Data for crystalline LiCdSe2 at its relaxed geometry.

electronic total energy: -2.868 eV/atom
formation energy from raw total energies: -0.42 eV per atom
total moment: 0.0 μB/f.u.

```
data_LiCdSe2
_chemical_formula_sum 'Li1 Cd1 Se2'
_symmetry_space_group_name_H-M 'P 4/m m m'
_symmetry_Int_Tables_number 123
_symmetry_space_group_name_Hall '-P 4 2'
_cell_length_a 3.732
_cell_length_b 3.732
_cell_length_c 5.926
_cell_angle_alpha 90.00
_cell_angle_beta 90.00
_cell_angle_gamma 90.00
loop_
_atom_site_label
_atom_site_fract_x
_atom_site_fract_y
_atom_site_fract_z
Li1 0.000 0.000 0.000
Cd1 0.000 0.000 0.500
Se1 0.500 0.500 0.243
```

(10)
## Ac2AgAu8 (GGA-PBE)

Data for crystalline Ac2AgAu8 at its relaxed geometry.

electronic total energy: -3.855 eV/atom
total moment: 0.0 μB/f.u.
calculated formation energy: -465 meV per atom

```
data_Ac2AgAu8
_chemical_formula_sum 'Ac4 Ag2 Au16'
_symmetry_space_group_name_H-M 'C 1 2/m 1'
_symmetry_Int_Tables_number 12
_symmetry_space_group_name_Hall '-C 2y'
_cell_length_a 5.545
_cell_length_b 19.193
_cell_length_c 5.403
_cell_angle_alpha 90.00
_cell_angle_beta 118.71
_cell_angle_gamma 90.00
loop_
_atom_site_label
_atom_site_fract_x
_atom_site_fract_y
_atom_site_fract_z
Ac1 0.000 0.151 0.000
Ag1 0.000 0.000 0.500
Au1 0.000 0.248 0.500
Au2 0.151 0.379 0.319
Au3 0.201 0.500 0.895
```

(11)
## CaPtRh (GGA-PBE)

Data for crystalline CaPtRh at its relaxed geometry.

electronic total energy: -5.316 eV/atom
total moment: 0.5 μB/f.u.
calculated formation energy: -185 meV per atom
energy relative to the lowest polymorph listed for this composition: 0.543 eV/atom

```
data_CaPtRh
_chemical_formula_sum 'Ca2 Pt2 Rh2'
_symmetry_space_group_name_H-M 'I 4 m m'
_symmetry_Int_Tables_number 107
_symmetry_space_group_name_Hall 'I 4 -2'
_cell_length_a 2.950
_cell_length_b 2.950
_cell_length_c 12.503
_cell_angle_alpha 90.00
_cell_angle_beta 90.00
_cell_angle_gamma 90.00
loop_
_atom_site_label
_atom_site_fract_x
_atom_site_fract_y
_atom_site_fract_z
Ca1 0.000 0.000 0.000
Pt1 0.000 0.000 0.678
Rh1 0.000 0.000 0.322
```

(12)
## Ac2CdGe3Ir4 (GGA-PBE)

Data for crystalline Ac2CdGe3Ir4 at its relaxed geometry.

electronic total energy: -6.454 eV/atom
total moment: 0.0 μB/f.u.
calculated formation energy: -612 meV per atom

```
data_Ac2CdGe3Ir4
_chemical_formula_sum 'Ac2 Cd1 Ge3 Ir4'
_symmetry_space_group_name_H-M 'P -4 m 2'
_symmetry_Int_Tables_number 115
_symmetry_space_group_name_Hall 'P -4 -2'
_cell_length_a 4.326
_cell_length_b 4.326
_cell_length_c 10.928
_cell_angle_alpha 90.00
_cell_angle_beta 90.00
_cell_angle_gamma 90.00
loop_
_atom_site_label
_atom_site_fract_x
_atom_site_fract_y
_atom_site_fract_z
Ac1 0.000 0.500 0.248
Cd1 0.000 0.000 0.500
Ge1 0.000 0.500 0.879
Ge2 0.500 0.500 0.500
Ir1 0.000 0.000 0.000
Ir2 0.000 0.500 0.650
Ir3 0.500 0.500 0.000
```